1.
VASP calculation (PBE) on an optimized crystal structure of MnH2.

Unit cell a=2.5297 b=2.5311 c=4.4892 alpha=103.88 beta=91.98 gamma=119.97
Last column: nearest neighbours and their distance in Å.
Fractional coordinates of all 3 atoms:
Mn: 0.0000 0.0000 0.0000  6 H 1.78
H: 0.5799 0.1894 0.7631  3 Mn 1.78
H: 0.7532 0.4774 0.2374  3 Mn 1.78

DFT total energy (eV/atom): -5.15
Size of the total moment (Bohr magnetons per cell): 2.14
Crystal system: triclinic


2.
VASP calculation (PBE) on an optimized crystal structure of Pr2Ho2Er15.

Unit cell a=8.6622 b=8.6622 c=8.6622 alpha=79.94 beta=79.94 gamma=79.94
Last column: nearest neighbours and their distance in Å.
Fractional coordinates of all 19 atoms:
Pr: 0.1183 0.1183 0.1183  6 Er 3.32-3.60, 1 Ho 3.69
Pr: 0.8817 0.8817 0.8817  6 Er 3.32-3.60, 1 Ho 3.69
Ho: 0.3302 0.3302 0.3302  1 Pr 3.69, 12 Er 3.88-4.10
Ho: 0.6698 0.6698 0.6698  1 Pr 3.69, 12 Er 3.88-4.10
Er: 0.0000 0.0000 0.5000  8 Er 3.32-3.37, 2 Pr 3.32
Er: 0.0000 0.3047 0.6953  6 Er 3.26-3.39
Er: 0.0000 0.5000 0.0000  8 Er 3.32-3.37, 2 Pr 3.32
Er: 0.0000 0.6953 0.3047  6 Er 3.26-3.39
Er: 0.1533 0.6319 0.6319  6 Er 3.22-3.32, 1 Pr 3.60
Er: 0.3047 0.0000 0.6953  6 Er 3.26-3.39
Er: 0.3047 0.6953 0.0000  6 Er 3.26-3.39
Er: 0.3681 0.3681 0.8467  6 Er 3.22-3.32, 1 Pr 3.60
Er: 0.3681 0.8467 0.3681  6 Er 3.22-3.32, 1 Pr 3.60
Er: 0.5000 0.0000 0.0000  8 Er 3.32-3.37, 2 Pr 3.32
Er: 0.6319 0.1533 0.6319  6 Er 3.22-3.32, 1 Pr 3.60
Er: 0.6319 0.6319 0.1533  6 Er 3.22-3.32, 1 Pr 3.60
Er: 0.6953 0.0000 0.3047  6 Er 3.26-3.39
Er: 0.6953 0.3047 0.0000  6 Er 3.26-3.39
Er: 0.8467 0.3681 0.3681  6 Er 3.22-3.32, 1 Pr 3.60

ΔH_f (0 K) (eV per atom): 0.30
Size of the total moment (Bohr magnetons per cell): 0.00
Crystal system: trigonal


3.
VASP calculation (PBE) on an optimized crystal structure of TbPrSm2Tm.

Unit cell a=8.4768 b=6.5200 c=6.2478 alpha=90.00 beta=95.45 gamma=90.00
Last column: nearest neighbours and their distance in Å.
Fractional coordinates of all 10 atoms:
Tb: 0.0000 0.0623 0.2500  2 Sm 3.13, 2 Tb 3.23, 2 Pr 3.25
Tb: 0.0000 0.9377 0.7500  2 Sm 3.13, 2 Tb 3.23, 2 Pr 3.25
Pr: 0.0000 0.5000 0.0000  2 Pr 3.12, 2 Tb 3.25
Pr: 0.0000 0.5000 0.5000  2 Pr 3.12, 2 Tb 3.25
Sm: 0.3122 0.1893 0.7205  1 Tb 3.13, 1 Sm 3.17, 1 Tm 3.48, 1 Pr 3.51
Sm: 0.3122 0.8107 0.2205  1 Tb 3.13, 1 Sm 3.17, 1 Tm 3.48, 1 Pr 3.51
Sm: 0.6878 0.1893 0.7795  1 Tb 3.13, 1 Sm 3.17, 1 Tm 3.48, 1 Pr 3.51
Sm: 0.6878 0.8107 0.2795  1 Tb 3.13, 1 Sm 3.17, 1 Tm 3.48, 1 Pr 3.51
Tm: 0.5000 0.3352 0.2500  8 Sm 3.48-3.77, 2 Tm 3.79
Tm: 0.5000 0.6648 0.7500  8 Sm 3.48-3.77, 2 Tm 3.79

ΔH_f (0 K) (eV per atom): 0.29
Size of the total moment (Bohr magnetons per cell): 0.00
Crystal system: monoclinic


no.,Fermi-level density of states (states/eV/f.u.)
1,1.7
2,32.1
3,6.2